First-principles (PBE) data for a relaxed structure of TiAlTcW, as listed in Alexandria via LeMat-Bulk.

a b c (Å): 6.256 6.256 6.256
angles (deg): 90.00 90.00 90.00
Space group F-43m (No. 216)
Inequivalent atoms, fractional coordinates:
Ti 0.000 0.000 0.000 (multiplicity 4)
Al 0.250 0.250 0.750 (multiplicity 4)
Tc 0.000 0.000 0.500 (multiplicity 4)
W 0.250 0.250 0.250 (multiplicity 4)

Output
As for the total energy: -143.5 eV/cell. The calculated density comes out at 9.68 g/cm3. The magnetic moment comes out at 0.0014 μB per atom. The energy of formation is -0.230 eV/atom.